[1]
Cu7Te4: relaxed, PBE-GGA.

Output
Theoretical density   4354 kg/m³
Space-group type   No. 164
Energy   -3.570 eV/atom

The structure in POSCAR format:
```
Cu7Te4
1.0
8.308 0.000 0.000
-4.154 7.195 0.000
0.000 0.000 48.764
Cu Te
56 32
Direct
0.019 0.510 0.252
0.032 0.516 0.401
0.032 0.516 0.548
0.032 0.516 0.696
0.172 0.344 0.437
0.172 0.344 0.585
0.172 0.345 0.287
0.172 0.828 0.287
0.172 0.828 0.437
0.172 0.828 0.585
0.173 0.346 0.733
0.173 0.827 0.733
0.333 0.667 0.232
0.333 0.667 0.371
0.333 0.667 0.519
0.333 0.667 0.667
0.344 0.172 0.415
0.344 0.172 0.563
0.345 0.172 0.713
0.346 0.173 0.267
0.484 0.516 0.401
0.484 0.516 0.548
0.484 0.516 0.696
0.484 0.968 0.401
0.484 0.968 0.548
0.484 0.968 0.696
0.490 0.510 0.252
0.490 0.981 0.252
0.510 0.019 0.748
0.510 0.490 0.748
0.516 0.032 0.304
0.516 0.032 0.452
0.516 0.032 0.599
0.516 0.484 0.304
0.516 0.484 0.452
0.516 0.484 0.599
0.654 0.827 0.733
0.655 0.828 0.287
0.656 0.828 0.437
0.656 0.828 0.585
0.667 0.333 0.333
0.667 0.333 0.481
0.667 0.333 0.629
0.667 0.333 0.768
0.827 0.173 0.267
0.827 0.654 0.267
0.828 0.172 0.415
0.828 0.172 0.563
0.828 0.172 0.713
0.828 0.655 0.713
0.828 0.656 0.415
0.828 0.656 0.563
0.968 0.484 0.304
0.968 0.484 0.452
0.968 0.484 0.599
0.981 0.490 0.748
0.149 0.299 0.680
0.149 0.851 0.680
0.150 0.300 0.383
0.150 0.300 0.531
0.150 0.850 0.383
0.150 0.850 0.531
0.151 0.302 0.233
0.151 0.849 0.233
0.299 0.149 0.320
0.300 0.150 0.469
0.300 0.150 0.617
0.302 0.151 0.767
0.333 0.667 0.316
0.333 0.667 0.465
0.333 0.667 0.613
0.333 0.667 0.763
0.667 0.333 0.237
0.667 0.333 0.387
0.667 0.333 0.535
0.667 0.333 0.684
0.698 0.849 0.233
0.700 0.850 0.383
0.700 0.850 0.531
0.701 0.851 0.680
0.849 0.151 0.767
0.849 0.698 0.767
0.850 0.150 0.469
0.850 0.150 0.617
0.850 0.700 0.469
0.850 0.700 0.617
0.851 0.149 0.320
0.851 0.701 0.320
```

[2]
Cu13Te2: relaxed, PBE-GGA.

Output
Theoretical density   5926 kg/m³
Space-group type   No. 11
Energy   -3.607 eV/atom

The structure in POSCAR format:
```
Cu13Te2
1.0
5.721 0.000 0.000
0.000 3.650 0.000
-0.155 0.000 29.024
Cu Te
26 4
Direct
0.040 0.250 0.334
0.051 0.250 0.529
0.062 0.250 0.731
0.146 0.750 0.393
0.155 0.750 0.588
0.240 0.250 0.257
0.248 0.250 0.452
0.253 0.250 0.647
0.339 0.750 0.315
0.351 0.750 0.510
0.355 0.750 0.706
0.444 0.250 0.373
0.452 0.250 0.569
0.548 0.750 0.431
0.556 0.750 0.627
0.645 0.250 0.294
0.649 0.250 0.490
0.661 0.250 0.685
0.747 0.750 0.353
0.752 0.750 0.548
0.760 0.750 0.743
0.845 0.250 0.412
0.854 0.250 0.607
0.938 0.750 0.269
0.949 0.750 0.471
0.960 0.750 0.666
0.042 0.750 0.809
0.473 0.250 0.776
0.527 0.750 0.224
0.958 0.250 0.191
```

[3]
Cu13Te2: relaxed, PBE-GGA.

Output
Theoretical density   5115 kg/m³
Space-group type   No. 12
Energy   -3.606 eV/atom

The structure in POSCAR format:
```
Cu13Te2
1.0
6.549 -1.828 0.000
6.549 1.828 0.000
-0.200 0.000 29.316
Cu Te
26 4
Direct
0.018 0.018 0.325
0.057 0.057 0.409
0.096 0.096 0.492
0.135 0.135 0.576
0.172 0.172 0.659
0.210 0.210 0.307
0.250 0.250 0.391
0.289 0.289 0.475
0.327 0.327 0.559
0.366 0.366 0.642
0.396 0.396 0.292
0.442 0.442 0.375
0.481 0.481 0.458
0.519 0.519 0.542
0.558 0.558 0.625
0.604 0.604 0.708
0.634 0.634 0.358
0.673 0.673 0.441
0.711 0.711 0.525
0.750 0.750 0.609
0.790 0.790 0.693
0.828 0.828 0.341
0.865 0.865 0.424
0.904 0.904 0.508
0.943 0.943 0.591
0.982 0.982 0.675
0.185 0.185 0.757
0.422 0.422 0.738
0.578 0.578 0.262
0.815 0.815 0.243
```

[4]
Cu15Te2: relaxed, PBE-GGA.

Output
Theoretical density   4914 kg/m³
Space-group type   No. 2
Energy   -3.641 eV/atom

The structure in POSCAR format:
```
Cu15Te2
1.0
4.383 0.000 0.000
-0.025 6.796 0.000
-0.442 -0.401 27.420
Cu Te
30 4
Direct
0.066 0.451 0.317
0.074 0.319 0.406
0.083 0.178 0.492
0.096 0.040 0.579
0.101 0.904 0.664
0.240 0.676 0.392
0.248 0.535 0.478
0.250 0.807 0.303
0.256 0.394 0.565
0.260 0.257 0.653
0.387 0.155 0.288
0.403 0.029 0.378
0.410 0.890 0.465
0.422 0.750 0.551
0.433 0.614 0.638
0.567 0.386 0.362
0.578 0.250 0.449
0.590 0.110 0.535
0.597 0.971 0.622
0.613 0.845 0.712
0.740 0.743 0.347
0.744 0.606 0.435
0.750 0.193 0.697
0.752 0.465 0.522
0.760 0.324 0.608
0.899 0.096 0.336
0.904 0.960 0.421
0.917 0.822 0.508
0.926 0.681 0.594
0.934 0.549 0.683
0.124 0.005 0.755
0.438 0.485 0.735
0.562 0.515 0.265
0.876 0.995 0.245
```

[5]
Cu28Te5: relaxed, PBE-GGA.

Output
Theoretical density   8078 kg/m³
Space-group type   No. 2
Energy   -3.619 eV/atom

The structure in POSCAR format:
```
Cu28Te5
1.0
4.364 0.000 0.000
0.212 13.639 0.000
0.654 0.368 16.697
Cu Te
56 10
Direct
0.048 0.007 0.298
0.056 0.506 0.298
0.060 0.083 0.154
0.063 0.583 0.154
0.080 0.161 0.012
0.083 0.660 0.012
0.102 0.238 0.869
0.104 0.737 0.868
0.118 0.312 0.725
0.119 0.813 0.725
0.212 0.329 0.330
0.214 0.832 0.327
0.226 0.904 0.178
0.227 0.404 0.179
0.245 0.480 0.035
0.245 0.980 0.035
0.265 0.058 0.893
0.265 0.558 0.893
0.279 0.133 0.751
0.279 0.633 0.750
0.387 0.226 0.204
0.390 0.726 0.203
0.406 0.301 0.060
0.408 0.801 0.060
0.429 0.378 0.917
0.432 0.877 0.917
0.443 0.455 0.776
0.447 0.955 0.776
0.553 0.045 0.224
0.557 0.545 0.224
0.568 0.123 0.083
0.571 0.622 0.083
0.592 0.199 0.940
0.594 0.699 0.940
0.610 0.274 0.797
0.613 0.774 0.796
0.721 0.367 0.250
0.721 0.867 0.249
0.735 0.442 0.107
0.735 0.942 0.107
0.755 0.020 0.965
0.755 0.520 0.965
0.773 0.596 0.821
0.774 0.096 0.822
0.786 0.168 0.673
0.788 0.671 0.670
0.881 0.187 0.275
0.882 0.688 0.275
0.896 0.263 0.132
0.898 0.762 0.131
0.917 0.340 0.988
0.920 0.839 0.988
0.937 0.417 0.846
0.940 0.917 0.846
0.944 0.494 0.702
0.952 0.993 0.702
0.001 0.255 0.497
0.308 0.093 0.599
0.314 0.587 0.599
0.365 0.645 0.362
0.370 0.142 0.362
0.630 0.858 0.638
0.635 0.355 0.638
0.686 0.413 0.401
0.692 0.907 0.401
0.999 0.745 0.503
```

[6]
Cu7Te4: relaxed, PBE-GGA.

Output
Theoretical density   2912 kg/m³
Space-group type   No. 11
Energy   -3.465 eV/atom

The structure in POSCAR format:
```
Cu7Te4
1.0
7.192 0.000 0.000
0.000 8.156 0.000
-0.272 0.000 37.145
Cu Te
28 16
Direct
0.072 0.250 0.471
0.075 0.009 0.564
0.075 0.491 0.564
0.094 0.095 0.674
0.094 0.405 0.674
0.099 0.016 0.374
0.099 0.484 0.374
0.104 0.750 0.654
0.157 0.250 0.607
0.171 0.527 0.498
0.171 0.973 0.498
0.188 0.750 0.406
0.372 0.750 0.469
0.411 0.250 0.659
0.589 0.750 0.341
0.628 0.250 0.531
0.812 0.250 0.594
0.829 0.027 0.502
0.829 0.473 0.502
0.843 0.750 0.393
0.896 0.250 0.346
0.901 0.516 0.626
0.901 0.984 0.626
0.906 0.595 0.326
0.906 0.905 0.326
0.925 0.509 0.436
0.925 0.991 0.436
0.928 0.750 0.529
0.218 0.750 0.332
0.234 0.250 0.334
0.261 0.250 0.535
0.293 0.029 0.434
0.293 0.471 0.434
0.294 0.750 0.541
0.328 0.526 0.631
0.328 0.974 0.631
0.672 0.026 0.369
0.672 0.474 0.369
0.706 0.250 0.459
0.707 0.529 0.566
0.707 0.971 0.566
0.739 0.750 0.465
0.766 0.750 0.666
0.782 0.250 0.668
```

[7]
Cu15Te2: relaxed, PBE-GGA.

Output
Theoretical density   4892 kg/m³
Space-group type   No. 11
Energy   -3.537 eV/atom

The structure in POSCAR format:
```
Cu15Te2
1.0
10.705 0.000 0.000
0.000 2.708 0.000
-0.616 0.000 28.296
Cu Te
30 4
Direct
0.028 0.250 0.094
0.029 0.250 0.835
0.083 0.750 0.022
0.137 0.250 0.209
0.139 0.250 0.950
0.195 0.750 0.878
0.196 0.750 0.138
0.249 0.250 0.065
0.251 0.250 0.804
0.306 0.750 0.993
0.357 0.250 0.183
0.362 0.250 0.921
0.415 0.750 0.108
0.417 0.750 0.849
0.472 0.250 0.036
0.528 0.750 0.964
0.583 0.250 0.151
0.585 0.250 0.892
0.638 0.750 0.079
0.643 0.750 0.817
0.694 0.250 0.007
0.749 0.750 0.196
0.751 0.750 0.935
0.804 0.250 0.862
0.805 0.250 0.122
0.861 0.750 0.050
0.863 0.750 0.791
0.917 0.250 0.978
0.971 0.750 0.165
0.972 0.750 0.906
0.078 0.750 0.744
0.474 0.250 0.760
0.526 0.750 0.240
0.922 0.250 0.256
```

[8]
Cu17Te: relaxed, PBE-GGA.

Output
Theoretical density   5681 kg/m³
Space-group type   No. 164
Energy   -3.644 eV/atom

The structure in POSCAR format:
```
Cu17Te
1.0
5.089 0.000 0.000
-2.544 4.407 0.000
0.000 0.000 31.489
Cu Te
34 2
Direct
0.000 0.000 0.000
0.000 0.000 0.196
0.000 0.000 0.804
0.000 0.500 0.000
0.002 0.501 0.198
0.167 0.334 0.737
0.167 0.334 0.934
0.167 0.335 0.131
0.167 0.833 0.131
0.167 0.833 0.737
0.167 0.833 0.934
0.333 0.667 0.065
0.333 0.667 0.868
0.334 0.167 0.066
0.334 0.167 0.263
0.335 0.167 0.869
0.499 0.501 0.198
0.499 0.998 0.198
0.500 0.000 0.000
0.500 0.500 0.000
0.501 0.002 0.802
0.501 0.499 0.802
0.665 0.833 0.131
0.666 0.833 0.737
0.666 0.833 0.934
0.667 0.333 0.132
0.667 0.333 0.935
0.833 0.167 0.066
0.833 0.167 0.263
0.833 0.167 0.869
0.833 0.665 0.869
0.833 0.666 0.066
0.833 0.666 0.263
0.998 0.499 0.802
0.333 0.667 0.295
0.667 0.333 0.705
```